(1)
Compound: Zr3Ni4
Source: Alexandria
Functional: PBE
Structure: optimized geometry

Output
magnetic moment = 0.00 μB/atom
distance to the lowest polymorph of the same formula = 0.131 eV per atom
formation energy = -299 meV per atom
D(E_F) = 6.67 states/eV per cell
electronic total energy = -50.9 eV for the cell shown

Cell: 10.463 10.463 10.463 Å, 161.86 161.86 25.77°
Fractional positions:
Zr 0.000 0.000 0.000
Zr 0.302 0.302 0.000
Zr 0.698 0.698 0.000
Ni 0.133 0.133 0.000
Ni 0.433 0.433 0.000
Ni 0.567 0.567 0.000
Ni 0.867 0.867 0.000

=====

(2)
Compound: Zr3Ni5
Source: Alexandria
Functional: PBE
Structure: optimized geometry

Output
magnetic moment = 0.00 μB/atom
formation energy = -133 meV per atom
D(E_F) = 13.39 states/eV per cell
electronic total energy = -111.2 eV for the cell shown

Cell: 7.893 7.893 4.657 Å, 90.00 90.00 120.00°
Fractional positions:
Zr 0.000 0.373 0.250
Zr 0.000 0.627 0.750
Zr 0.373 0.000 0.250
Zr 0.373 0.373 0.750
Zr 0.627 0.000 0.750
Zr 0.627 0.627 0.250
Ni 0.000 0.187 0.750
Ni 0.000 0.813 0.250
Ni 0.187 0.000 0.750
Ni 0.187 0.187 0.250
Ni 0.333 0.667 0.000
Ni 0.333 0.667 0.500
Ni 0.667 0.333 0.000
Ni 0.667 0.333 0.500
Ni 0.813 0.000 0.250
Ni 0.813 0.813 0.750

=====

(3)
Compound: Zr4Ni
Source: Alexandria
Functional: PBE
Structure: optimized geometry

Output
magnetic moment = 0.00 μB/atom
distance to the lowest polymorph of the same formula = 0.000 eV per atom
formation energy = -147 meV per atom
D(E_F) = 11.08 states/eV per cell
electronic total energy = -81.4 eV for the cell shown

Cell: 5.157 5.543 8.320 Å, 71.59 84.26 65.75°
Fractional positions:
Zr 0.072 0.385 0.363
Zr 0.207 0.208 0.007
Zr 0.276 0.867 0.743
Zr 0.397 0.764 0.371
Zr 0.603 0.236 0.629
Zr 0.724 0.133 0.257
Zr 0.793 0.792 0.993
Zr 0.928 0.615 0.637
Ni 0.320 0.645 0.085
Ni 0.680 0.355 0.915